1.
Compound: MnFe
Source: Alexandria via LeMat-Bulk
Functional: PBE
Structure: optimized geometry

Geometry as POSCAR:
```
MnFe
1.0
6.4947 0.0000 0.0000
-3.2474 5.6246 0.0000
0.0000 0.0000 3.7754
Mn Fe
6 6
direct
0.1093 0.4915 0.2500 Mn
0.3822 0.8907 0.2500 Mn
0.4915 0.3822 0.7500 Mn
0.5085 0.6178 0.2500 Mn
0.6178 0.1093 0.7500 Mn
0.8907 0.5085 0.7500 Mn
0.0525 0.2442 0.7500 Fe
0.1917 0.9475 0.7500 Fe
0.2442 0.1917 0.2500 Fe
0.7558 0.8083 0.7500 Fe
0.8083 0.0525 0.2500 Fe
0.9475 0.7558 0.2500 Fe
```

Computed properties:
**Density of states at the Fermi level**: 2.28 states/eV/f.u.
**Energy of formation**: 0.352 eV per atom
**Symmetry**: P6_3/m (176)
**Calculated volume**: 138 Å³/cell

2.
Compound: MgB4Ir4
Source: Alexandria via LeMat-Bulk
Functional: PBE
Structure: optimized geometry

Geometry as POSCAR:
```
MgB4Ir4
1.0
7.4854 0.0000 0.0000
0.0000 7.4854 0.0000
0.0000 0.0000 4.1264
Mg B Ir
2 8 8
direct
0.2500 0.2500 0.2500 Mg
0.7500 0.7500 0.7500 Mg
0.0430 0.5872 0.6362 B
0.0872 0.9570 0.1362 B
0.4128 0.5430 0.1362 B
0.4570 0.9128 0.6362 B
0.5430 0.0872 0.3638 B
0.5872 0.4570 0.8638 B
0.9128 0.0430 0.8638 B
0.9570 0.4128 0.3638 B
0.0973 0.8655 0.6391 Ir
0.1345 0.5973 0.1391 Ir
0.3655 0.9027 0.1391 Ir
0.4027 0.6345 0.6391 Ir
0.5973 0.3655 0.3609 Ir
0.6345 0.0973 0.8609 Ir
0.8655 0.4027 0.8609 Ir
0.9027 0.1345 0.3609 Ir
```

Computed properties:
**Distance to the lowest polymorph of the same formula**: 0.00 eV/f.u.
**Density of states at the Fermi level**: 4.28 states/eV/f.u.
**Energy of formation**: -0.313 eV per atom
**Symmetry**: P4_2/n (86)
**Calculated volume**: 231 Å³/cell

3.
Compound: Cr4OsPt
Source: Alexandria via LeMat-Bulk
Functional: PBE
Structure: optimized geometry

Geometry as POSCAR:
```
Cr4OsPt
1.0
0.0000 3.3544 3.3544
3.3544 0.0000 3.3544
3.3544 3.3544 0.0000
Cr Os Pt
4 1 1
direct
0.3763 0.3763 0.3763 Cr
0.3763 0.3763 0.8710 Cr
0.3763 0.8710 0.3763 Cr
0.8710 0.3763 0.3763 Cr
0.0000 0.0000 0.0000 Os
0.7500 0.7500 0.7500 Pt
```

Computed properties:
**Density of states at the Fermi level**: 4.29 states/eV/f.u.
**Energy of formation**: -0.045 eV per atom
**Symmetry**: F-43m (216)
**Calculated volume**: 75 Å³/cell

4.
Compound: Ce5PuTc2
Source: Alexandria via LeMat-Bulk
Functional: PBE
Structure: optimized geometry

Geometry as POSCAR:
```
Ce5PuTc2
1.0
8.5693 -3.3217 0.0000
8.5693 3.3217 0.0000
-2.2525 0.0000 6.8765
Ce Pu Tc
10 2 4
direct
0.0622 0.9378 0.7500 Ce
0.1047 0.3180 0.3082 Ce
0.3180 0.1047 0.8082 Ce
0.3474 0.4709 0.0729 Ce
0.4709 0.3474 0.5729 Ce
0.5291 0.6526 0.4271 Ce
0.6526 0.5291 0.9271 Ce
0.6820 0.8953 0.1918 Ce
0.8953 0.6820 0.6918 Ce
0.9378 0.0622 0.2500 Ce
0.0000 0.5000 0.0000 Pu
0.5000 0.0000 0.5000 Pu
0.1406 0.6722 0.4323 Tc
0.3278 0.8594 0.0677 Tc
0.6722 0.1406 0.9323 Tc
0.8594 0.3278 0.5677 Tc
```

Computed properties:
**Density of states at the Fermi level**: 14.00 states/eV/f.u.
**Energy of formation**: 0.057 eV per atom
**Symmetry**: C2/c (15)
**Calculated volume**: 391 Å³/cell